Computed, not measured: a relaxed BaNaNdIn crystal at the PBE level of DFT.

a = 5.8551 Å, b = 5.8551 Å, c = 5.8551 Å
α = 60.00°, β = 60.00°, γ = 60.00°
With the nearest neighbours (Å) after each atom.
Fractional positions:
Na  0.5000  0.5000  0.5000  4 Ba 3.59, 4 Nd 3.59
Ba  0.2500  0.2500  0.2500  4 In 3.59, 4 Na 3.59
Nd  0.7500  0.7500  0.7500  4 In 3.59, 4 Na 3.59
In  0.0000  0.0000  0.0000  4 Nd 3.59, 4 Ba 3.59

Calculated values
N(E_F) (states/eV/atom): 1.181
Calculated volume (Å³ per cell): 141.9
Mass density (g/cm3): 4.91
Space group: F-43m
DFT formation energy (eV per atom): -0.096